Record 1
The following is a DFT calculation (PBE) of a geometry-optimized InCu2F6 structure.

Lattice parameters (Å, degrees): 5.950 4.896 10.752 90.00 123.55 90.00
Space group P2_1/c (No. 14)
Asymmetric unit:
In: 0.000 0.000 0.000 (multiplicity 2)
Cu: 0.318 0.001 0.818 (multiplicity 4)
F: 0.030 0.249 0.168 (multiplicity 4)
F: 0.305 0.746 0.166 (multiplicity 4)
F: 0.333 0.173 0.001 (multiplicity 4)

Computed properties:
- ΔE_f (raw) (kJ/mol of atoms) = -178

***

Record 2
The following is a DFT calculation (PBE) of a geometry-optimized HgPb2 structure.

Lattice parameters (Å, degrees): 3.561 17.187 5.846 90.00 90.00 90.00
Space group Cmcm (No. 63)
Asymmetric unit:
Hg: 0.000 0.236 0.250 (multiplicity 4)
Pb: 0.000 0.102 0.750 (multiplicity 4)
Pb: 0.000 0.426 0.750 (multiplicity 4)

Computed properties:
- ΔH_f (0 K) (eV per atom) = 0.0157

***

Record 3
The following is a DFT calculation (PBE) of a geometry-optimized YHoAu structure.

Lattice parameters (Å, degrees): 7.320 4.916 13.337 90.00 92.26 90.00
Space group P2_1/m (No. 11)
Asymmetric unit:
Y: 0.003 0.250 0.283 (multiplicity 2)
Y: 0.378 0.250 0.083 (multiplicity 2)
Y: 0.480 0.250 0.376 (multiplicity 2)
Ho: 0.039 0.750 0.086 (multiplicity 2)
Ho: 0.140 0.750 0.454 (multiplicity 2)
Ho: 0.340 0.250 0.783 (multiplicity 2)
Au: 0.226 0.750 0.903 (multiplicity 2)
Au: 0.258 0.250 0.565 (multiplicity 2)
Au: 0.281 0.750 0.256 (multiplicity 2)

Computed properties:
- ΔH_f (0 K) (eV per atom) = -0.6254

***

| no. | volume (Å³/cell) |
| --- | --- |
| 1 | 261.0 |
| 2 | 357.8 |
| 3 | 479.6 |